No. 1
VASP calculation (GGA-PBE) on Ba2MgTi after structural relaxation.

abc: 9.384 9.384 7.488
angles: 51.20 51.20 90.00
Each line ends with the local moment (μB).
Fractional coordinates of all 8 atoms:
Ba: 0.375 0.368 0.750  0.06
Ba: 0.632 0.125 0.250  0.06
Ba: 0.118 0.625 0.250  0.05
Ba: 0.875 0.882 0.750  0.05
Mg: 0.500 0.500 0.000  0.00
Mg: 0.250 0.750 0.500  0.00
Ti: 0.750 0.250 0.500  1.74
Ti: 0.000 0.000 0.000  1.76

Output
density: 3.77 g/cm³
space group: I-42d
ΔH_f (0 K): 710 meV/atom
E: -2.6240 eV per atom

No. 2
VASP calculation (GGA-PBE) on Ca3Bi2Sb4 after structural relaxation.

abc: 6.486 9.966 9.966
angles: 67.65 76.08 76.08
Fractional coordinates of all 18 atoms:
Sb: 0.246 0.752 0.493
Sb: 0.754 0.248 0.507
Sb: 0.581 0.082 0.834
Sb: 0.419 0.918 0.166
Sb: 0.081 0.834 0.082
Sb: 0.746 0.493 0.752
Sb: 0.254 0.507 0.248
Sb: 0.919 0.166 0.918
Ca: 0.423 0.291 0.038
Ca: 0.750 0.623 0.377
Ca: 0.077 0.962 0.709
Ca: 0.250 0.377 0.623
Ca: 0.923 0.038 0.291
Ca: 0.577 0.709 0.962
Bi: 0.409 0.168 0.411
Bi: 0.591 0.832 0.589
Bi: 0.909 0.411 0.168
Bi: 0.091 0.589 0.832

Output
density: 5.97 g/cm³
space group: C2/c
energy relative to the elements, uncorrected: -0.549 eV/atom
E: -3.9107 eV per atom

No. 3
VASP calculation (GGA-PBE) on Ca2TlBr after structural relaxation.

abc: 3.764 3.963 8.558
angles: 89.99 90.00 90.00
Fractional coordinates of all 4 atoms:
Ca: 0.000 0.750 0.474
Ca: 0.000 0.750 0.026
Br: 0.500 0.750 0.750
Tl: 0.500 0.250 0.250

Output
density: 4.74 g/cm³
space group: Pmmm
relative energy among the computed polymorphs: 0 meV/atom
energy relative to the elements, uncorrected: -0.921 eV/atom
E: -2.9318 eV per atom

No. 4
VASP calculation (GGA-PBE) on Co4IrBr after structural relaxation.

abc: 4.849 4.849 4.849
angles: 60.00 60.00 60.00
Each line ends with the local moment (μB).
Fractional coordinates of all 6 atoms:
Co: 0.624 0.624 0.624  1.81
Co: 0.624 0.127 0.624  1.81
Co: 0.624 0.624 0.127  1.81
Co: 0.127 0.624 0.624  1.81
Ir: 0.250 0.250 0.250  0.69
Br: 0.000 0.000 0.000  0.10

Output
density: 10.46 g/cm³
space group: F-43m
energy relative to the elements, uncorrected: 0.684 eV/atom
E: -5.8088 eV per atom

No. 5
VASP calculation (GGA-PBE) on Cs3CeSe3 after structural relaxation.

abc: 9.163 9.163 8.946
angles: 95.47 95.47 113.90
Each line ends with the local moment (μB).
Fractional coordinates of all 14 atoms:
Cs: 0.248 0.752 0.000  0.00
Cs: 0.377 0.377 0.635  0.00
Cs: 0.182 0.818 0.500  0.00
Cs: 0.752 0.248 0.000  0.00
Cs: 0.623 0.623 0.365  0.00
Cs: 0.818 0.182 0.500  0.00
Se: 0.907 0.907 0.187  -0.01
Se: 0.459 0.165 0.274  -0.01
Se: 0.093 0.093 0.813  -0.01
Se: 0.165 0.459 0.274  -0.01
Se: 0.541 0.835 0.726  -0.01
Se: 0.835 0.541 0.726  -0.01
Ce: 0.818 0.818 0.861  0.92
Ce: 0.182 0.182 0.139  0.92

Output
density: 3.81 g/cm³
space group: C2/m
energy relative to the elements, uncorrected: -1.357 eV/atom
E: -4.0635 eV per atom

No. 6
VASP calculation (GGA-PBE) on K2BaAlIr after structural relaxation.

abc: 6.862 5.211 6.862
angles: 90.00 90.00 90.00
Fractional coordinates of all 5 atoms:
Ir: 0.000 0.500 0.000
K: 0.500 0.000 0.000
K: 0.000 0.000 0.500
Al: 0.500 0.500 0.500
Ba: 0.000 0.000 0.000

Output
density: 2.94 g/cm³
space group: P4/mmm
ΔH_f (0 K): 1112 meV/atom
E: -2.2323 eV per atom

No. 7
VASP calculation (GGA-PBE) on LiYErGa after structural relaxation.

abc: 5.078 5.078 5.078
angles: 60.00 60.00 60.00
Fractional coordinates of all 4 atoms:
Er: 0.250 0.250 0.250
Ga: 0.000 0.000 0.000
Y: 0.750 0.750 0.750
Li: 0.500 0.500 0.500

Output
density: 5.97 g/cm³
space group: F-43m
ΔH_f (0 K): -329 meV/atom
E: -4.3213 eV per atom

No. 8
VASP calculation (GGA-PBE) on SrTaRu2 after structural relaxation.

abc: 5.617 5.617 5.617
angles: 139.15 139.15 59.14
Fractional coordinates of all 4 atoms:
Sr: 0.500 0.500 0.000
Ru: 0.000 0.000 0.000
Ru: 0.250 0.750 0.500
Ta: 0.750 0.250 0.500

Output
density: 10.41 g/cm³
space group: I-4m2
relative energy among the computed polymorphs: 782 meV/atom
ΔH_f (0 K): 779 meV/atom
E: -7.2423 eV per atom

Question: The lowest density belongs to which entry?
Answer: K2BaAlIr

Question: Which of these has the lowest density?
Answer: K2BaAlIr

Question: The lowest density belongs to which entry?
Answer: K2BaAlIr